# CoTeI2O

CoTeI2O after structural relaxation (GGA+U, the Alexandria database). Values from VASP.

## Properties
**Excess energy over the best structure of this formula in the dataset**: 0 meV per atom
**Electronic total energy**: -3.250 eV per atom

Quantum ESPRESSO input file:
```
&SYSTEM
  ibrav = 0, nat = 5, ntyp = 4
/
ATOMIC_SPECIES
Co 58.93 Co.upf
Te 127.60 Te.upf
I 126.90 I.upf
O 16.00 O.upf
CELL_PARAMETERS angstrom
5.8150 0.0000 0.0000
0.0000 5.8150 0.0000
0.0000 0.0000 3.6299
ATOMIC_POSITIONS angstrom
Co 0.0000 0.0000 0.0000
Te 2.9075 2.9075 1.8150
I 0.0000 2.9075 0.0000
I 2.9075 0.0000 0.0000
O 0.0000 0.0000 1.8150
```